#a
Tc2IrF | GGA-PBE | optimized geometry

Lattice parameters (Å, degrees): 6.0259 6.0259 6.0259 90.00 90.00 90.00
Closest atoms and distances in Å follow each position.
Positions (direct):
Tc 0.2500 0.2500 0.2500  4 F 2.61, 4 Ir 2.61
Tc 0.2500 0.2500 0.7500  4 Ir 2.61, 4 F 2.61
Tc 0.2500 0.7500 0.2500  4 Ir 2.61, 4 F 2.61
Tc 0.2500 0.7500 0.7500  4 F 2.61, 4 Ir 2.61
Tc 0.7500 0.2500 0.2500  4 Ir 2.61, 4 F 2.61
Tc 0.7500 0.2500 0.7500  4 F 2.61, 4 Ir 2.61
Tc 0.7500 0.7500 0.2500  4 F 2.61, 4 Ir 2.61
Tc 0.7500 0.7500 0.7500  4 Ir 2.61, 4 F 2.61
Ir 0.0000 0.0000 0.0000  8 Tc 2.61
Ir 0.0000 0.5000 0.5000  8 Tc 2.61
Ir 0.5000 0.0000 0.5000  8 Tc 2.61
Ir 0.5000 0.5000 0.0000  8 Tc 2.61
F 0.0000 0.0000 0.5000  8 Tc 2.61
F 0.0000 0.5000 0.0000  8 Tc 2.61
F 0.5000 0.0000 0.0000  8 Tc 2.61
F 0.5000 0.5000 0.5000  8 Tc 2.61

Results
SG	Fm-3m, No. 225
D(E_F)	1.1514	states/eV/atom

---

#b
Tc2IrF | GGA-PBE | optimized geometry

Lattice parameters (Å, degrees): 6.3620 6.3620 5.5556 90.00 90.00 90.00
Closest atoms and distances in Å follow each position.
Positions (direct):
Tc 0.2115 0.2500 0.1250  2 F 2.20
Tc 0.2500 0.7115 0.3750  2 F 2.20
Tc 0.2500 0.7885 0.8750  2 F 2.20
Tc 0.2885 0.2500 0.6250  2 F 2.20
Tc 0.7115 0.7500 0.6250  2 F 2.20
Tc 0.7500 0.2115 0.8750  2 F 2.20
Tc 0.7500 0.2885 0.3750  2 F 2.20
Tc 0.7885 0.7500 0.1250  2 F 2.20
Ir 0.0000 0.0000 0.5000  4 Tc 2.53, 2 F 2.78
Ir 0.0000 0.5000 0.7500  4 Tc 2.53, 2 F 2.78
Ir 0.5000 0.0000 0.2500  4 Tc 2.53, 2 F 2.78
Ir 0.5000 0.5000 0.0000  4 Tc 2.53, 2 F 2.78
F 0.0000 0.0000 0.0000  4 Tc 2.20
F 0.0000 0.5000 0.2500  4 Tc 2.20
F 0.5000 0.0000 0.7500  4 Tc 2.20
F 0.5000 0.5000 0.5000  4 Tc 2.20

Results
SG	I-42d, No. 122
D(E_F)	0.9845	states/eV/atom

---

Of them, the most stable is #a and the least stable is #b.

---

#a
TcIrF2 | GGA-PBE | optimized geometry

Lattice parameters (Å, degrees): 2.6665 2.6665 24.0975 90.00 90.00 120.00
Closest atoms and distances in Å follow each position.
Positions (direct):
Tc 0.0000 0.0000 0.0000  6 F 2.51, 6 Tc 2.67
Tc 0.3333 0.6667 0.6667  6 F 2.51, 6 Tc 2.67
Tc 0.6667 0.3333 0.3333  6 F 2.51, 6 Tc 2.67
Ir 0.0000 0.0000 0.5000  2 F 2.04
Ir 0.3333 0.6667 0.1667  2 F 2.04
Ir 0.6667 0.3333 0.8333  2 F 2.04
F 0.0000 0.0000 0.4154  1 Ir 2.04
F 0.0000 0.0000 0.5846  1 Ir 2.04
F 0.3333 0.6667 0.0821  1 Ir 2.04
F 0.3333 0.6667 0.2513  1 Ir 2.04
F 0.6667 0.3333 0.7487  1 Ir 2.04
F 0.6667 0.3333 0.9179  1 Ir 2.04

Results
SG	R-3m, No. 166
D(E_F)	0.7363	states/eV/atom

---

#b
TcIrF2 | GGA-PBE | optimized geometry

Lattice parameters (Å, degrees): 5.9660 5.9660 5.9660 90.00 90.00 90.00
Closest atoms and distances in Å follow each position.
Positions (direct):
Tc 0.0000 0.0000 0.0000  8 F 2.58
Tc 0.0000 0.5000 0.5000  8 F 2.58
Tc 0.5000 0.0000 0.5000  8 F 2.58
Tc 0.5000 0.5000 0.0000  8 F 2.58
Ir 0.0000 0.0000 0.5000  8 F 2.58
Ir 0.0000 0.5000 0.0000  8 F 2.58
Ir 0.5000 0.0000 0.0000  8 F 2.58
Ir 0.5000 0.5000 0.5000  8 F 2.58
F 0.2500 0.2500 0.2500  4 Tc 2.58, 4 Ir 2.58
F 0.2500 0.2500 0.7500  4 Tc 2.58, 4 Ir 2.58
F 0.2500 0.7500 0.2500  4 Tc 2.58, 4 Ir 2.58
F 0.2500 0.7500 0.7500  4 Tc 2.58, 4 Ir 2.58
F 0.7500 0.2500 0.2500  4 Tc 2.58, 4 Ir 2.58
F 0.7500 0.2500 0.7500  4 Tc 2.58, 4 Ir 2.58
F 0.7500 0.7500 0.2500  4 Tc 2.58, 4 Ir 2.58
F 0.7500 0.7500 0.7500  4 Tc 2.58, 4 Ir 2.58

Results
SG	Fm-3m, No. 225
D(E_F)	1.8543	states/eV/atom

---

Of them, the most stable is #a and the least stable is #b.

---

#a
TeIr3F | GGA-PBE | optimized geometry

Lattice parameters (Å, degrees): 4.9029 4.9029 4.9029 90.00 90.00 90.00
Closest atoms and distances in Å follow each position.
Positions (direct):
Te 0.0000 0.0000 0.0000  6 Ir 2.45
Ir 0.0000 0.0000 0.5000  2 Te 2.45
Ir 0.0000 0.5000 0.0000  2 Te 2.45
Ir 0.5000 0.0000 0.0000  2 Te 2.45
F 0.5000 0.5000 0.5000  12 Ir 3.47

Results
SG	Pm-3m, No. 221
D(E_F)	2.7275	states/eV/atom

---

#b
TeIr3F | GGA-PBE | optimized geometry

Lattice parameters (Å, degrees): 4.3743 4.3743 4.3743 90.00 90.00 90.00
Closest atoms and distances in Å follow each position.
Positions (direct):
Te 0.0000 0.0000 0.0000  12 Ir 3.09
Ir 0.0000 0.5000 0.5000  2 F 2.19
Ir 0.5000 0.0000 0.5000  2 F 2.19
Ir 0.5000 0.5000 0.0000  2 F 2.19
F 0.5000 0.5000 0.5000  6 Ir 2.19

Results
SG	Pm-3m, No. 221
D(E_F)	1.4465	states/eV/atom

---

Of them, the most stable is #b and the least stable is #a.

---

#a
TeIrF2 | GGA-PBE | optimized geometry

Lattice parameters (Å, degrees): 2.9654 2.9654 27.9283 90.00 90.00 120.00
Closest atoms and distances in Å follow each position.
Positions (direct):
Te 0.0000 0.0000 0.0000  2 F 2.03
Te 0.3333 0.6667 0.6667  2 F 2.03
Te 0.6667 0.3333 0.3333  2 F 2.03
Ir 0.0000 0.0000 0.5000  6 Ir 2.97, 6 F 3.13
Ir 0.3333 0.6667 0.1667  6 Ir 2.97, 6 F 3.13
Ir 0.6667 0.3333 0.8333  6 Ir 2.97, 6 F 3.13
F 0.0000 0.0000 0.0727  1 Te 2.03
F 0.0000 0.0000 0.9273  1 Te 2.03
F 0.3333 0.6667 0.5939  1 Te 2.03
F 0.3333 0.6667 0.7394  1 Te 2.03
F 0.6667 0.3333 0.2606  1 Te 2.03
F 0.6667 0.3333 0.4061  1 Te 2.03

Results
SG	R-3m, No. 166
D(E_F)	0.6902	states/eV/atom

---

#b
TeIrF2 | GGA-PBE | optimized geometry

Lattice parameters (Å, degrees): 2.9442 2.9442 28.4217 90.00 90.00 120.00
Closest atoms and distances in Å follow each position.
Positions (direct):
Te 0.0000 0.0000 0.0000  6 Te 2.94, 6 F 3.29
Te 0.3333 0.6667 0.6667  6 Te 2.94, 6 F 3.29
Te 0.6667 0.3333 0.3333  6 Te 2.94, 6 F 3.29
Ir 0.0000 0.0000 0.5000  2 F 1.91
Ir 0.3333 0.6667 0.1667  2 F 1.91
Ir 0.6667 0.3333 0.8333  2 F 1.91
F 0.0000 0.0000 0.4326  1 Ir 1.91
F 0.0000 0.0000 0.5674  1 Ir 1.91
F 0.3333 0.6667 0.0993  1 Ir 1.91
F 0.3333 0.6667 0.2340  1 Ir 1.91
F 0.6667 0.3333 0.7660  1 Ir 1.91
F 0.6667 0.3333 0.9007  1 Ir 1.91

Results
SG	R-3m, No. 166
D(E_F)	0.7122	states/eV/atom

---

#c
TeIrF2 | GGA-PBE | optimized geometry

Lattice parameters (Å, degrees): 6.1853 6.1853 6.1853 90.00 90.00 90.00
Closest atoms and distances in Å follow each position.
Positions (direct):
Te 0.0000 0.0000 0.0000  8 F 2.68
Te 0.0000 0.5000 0.5000  8 F 2.68
Te 0.5000 0.0000 0.5000  8 F 2.68
Te 0.5000 0.5000 0.0000  8 F 2.68
Ir 0.0000 0.0000 0.5000  8 F 2.68
Ir 0.0000 0.5000 0.0000  8 F 2.68
Ir 0.5000 0.0000 0.0000  8 F 2.68
Ir 0.5000 0.5000 0.5000  8 F 2.68
F 0.2500 0.2500 0.2500  4 Te 2.68, 4 Ir 2.68
F 0.2500 0.2500 0.7500  4 Te 2.68, 4 Ir 2.68
F 0.2500 0.7500 0.2500  4 Te 2.68, 4 Ir 2.68
F 0.2500 0.7500 0.7500  4 Ir 2.68, 4 Te 2.68
F 0.7500 0.2500 0.2500  4 Te 2.68, 4 Ir 2.68
F 0.7500 0.2500 0.7500  4 Ir 2.68, 4 Te 2.68
F 0.7500 0.7500 0.2500  4 Ir 2.68, 4 Te 2.68
F 0.7500 0.7500 0.7500  4 Te 2.68, 4 Ir 2.68

Results
SG	Fm-3m, No. 225
D(E_F)	1.7819	states/eV/atom

---

#d
TeIrF2 | GGA-PBE | optimized geometry

Lattice parameters (Å, degrees): 7.6853 7.6853 5.1254 90.00 90.00 90.00
Closest atoms and distances in Å follow each position.
Positions (direct):
Te 0.0000 0.0000 0.0000  2 Ir 2.56, 4 F 2.86
Te 0.0000 0.5000 0.2500  2 Ir 2.56, 4 F 2.86
Te 0.5000 0.0000 0.7500  2 Ir 2.56, 4 F 2.86
Te 0.5000 0.5000 0.5000  2 Ir 2.56, 4 F 2.86
Ir 0.0000 0.0000 0.5000  4 F 2.21
Ir 0.0000 0.5000 0.7500  4 F 2.21
Ir 0.5000 0.0000 0.2500  4 F 2.21
Ir 0.5000 0.5000 0.0000  4 F 2.21
F 0.1149 0.2500 0.6250  2 Ir 2.21
F 0.2500 0.6149 0.8750  2 Ir 2.21
F 0.2500 0.8851 0.3750  2 Ir 2.21
F 0.3851 0.2500 0.1250  2 Ir 2.21
F 0.6149 0.7500 0.1250  2 Ir 2.21
F 0.7500 0.1149 0.3750  2 Ir 2.21
F 0.7500 0.3851 0.8750  2 Ir 2.21
F 0.8851 0.7500 0.6250  2 Ir 2.21

Results
SG	I-42d, No. 122
D(E_F)	1.0771	states/eV/atom

---

Of them, the most stable is #b and the least stable is #c.

---

#a
TiIr2F | GGA-PBE | optimized geometry

Lattice parameters (Å, degrees): 6.0559 6.0559 6.0559 90.00 90.00 90.00
Closest atoms and distances in Å follow each position.
Positions (direct):
Ti 0.0000 0.0000 0.0000  8 Ir 2.62
Ti 0.0000 0.5000 0.5000  8 Ir 2.62
Ti 0.5000 0.0000 0.5000  8 Ir 2.62
Ti 0.5000 0.5000 0.0000  8 Ir 2.62
Ir 0.2500 0.2500 0.2500  4 F 2.62, 4 Ti 2.62
Ir 0.2500 0.2500 0.7500  4 Ti 2.62, 4 F 2.62
Ir 0.2500 0.7500 0.2500  4 Ti 2.62, 4 F 2.62
Ir 0.2500 0.7500 0.7500  4 F 2.62, 4 Ti 2.62
Ir 0.7500 0.2500 0.2500  4 Ti 2.62, 4 F 2.62
Ir 0.7500 0.2500 0.7500  4 F 2.62, 4 Ti 2.62
Ir 0.7500 0.7500 0.2500  4 F 2.62, 4 Ti 2.62
Ir 0.7500 0.7500 0.7500  4 F 2.62, 4 Ti 2.62
F 0.0000 0.0000 0.5000  8 Ir 2.62
F 0.0000 0.5000 0.0000  8 Ir 2.62
F 0.5000 0.0000 0.0000  8 Ir 2.62
F 0.5000 0.5000 0.5000  8 Ir 2.62

Results
SG	Fm-3m, No. 225
D(E_F)	0.6124	states/eV/atom

---

#b
TiIr2F | GGA-PBE | optimized geometry

Lattice parameters (Å, degrees): 8.1954 8.1954 4.1225 90.00 90.00 90.00
Closest atoms and distances in Å follow each position.
Positions (direct):
Ti 0.0000 0.0000 0.0000  2 F 2.06
Ti 0.0000 0.5000 0.2500  2 F 2.06
Ti 0.5000 0.0000 0.7500  2 F 2.06
Ti 0.5000 0.5000 0.5000  2 F 2.06
Ir 0.1767 0.2500 0.1250  2 Ir 2.39, 2 Ti 2.56
Ir 0.2500 0.6767 0.3750  2 Ir 2.39, 2 Ti 2.56
Ir 0.2500 0.8233 0.8750  2 Ir 2.39, 2 Ti 2.56
Ir 0.3233 0.2500 0.6250  2 Ir 2.39, 2 Ti 2.56
Ir 0.6767 0.7500 0.6250  2 Ir 2.39, 2 Ti 2.56
Ir 0.7500 0.1767 0.8750  2 Ir 2.39, 2 Ti 2.56
Ir 0.7500 0.3233 0.3750  2 Ir 2.39, 2 Ti 2.56
Ir 0.8233 0.7500 0.1250  2 Ir 2.39, 2 Ti 2.56
F 0.0000 0.0000 0.5000  2 Ti 2.06
F 0.0000 0.5000 0.7500  2 Ti 2.06
F 0.5000 0.0000 0.2500  2 Ti 2.06
F 0.5000 0.5000 0.0000  2 Ti 2.06

Results
SG	I-42d, No. 122
D(E_F)	0.7862	states/eV/atom

---

Of them, the most stable is #b and the least stable is #a.

---

#a
Ti3IrF | GGA-PBE | optimized geometry

Lattice parameters (Å, degrees): 4.8202 4.8202 4.8202 90.00 90.00 90.00
Closest atoms and distances in Å follow each position.
Positions (direct):
Ti 0.0000 0.0000 0.5000  2 Ir 2.41
Ti 0.0000 0.5000 0.0000  2 Ir 2.41
Ti 0.5000 0.0000 0.0000  2 Ir 2.41
Ir 0.0000 0.0000 0.0000  6 Ti 2.41
F 0.5000 0.5000 0.5000  12 Ti 3.41

Results
SG	Pm-3m, No. 221
D(E_F)	1.0447	states/eV/atom

---

#b
Ti3IrF | GGA-PBE | optimized geometry

Lattice parameters (Å, degrees): 4.1296 4.1296 4.1296 90.00 90.00 90.00
Closest atoms and distances in Å follow each position.
Positions (direct):
Ti 0.0000 0.0000 0.5000  2 F 2.06
Ti 0.0000 0.5000 0.0000  2 F 2.06
Ti 0.5000 0.0000 0.0000  2 F 2.06
Ir 0.5000 0.5000 0.5000  12 Ti 2.92
F 0.0000 0.0000 0.0000  6 Ti 2.06

Results
SG	Pm-3m, No. 221
D(E_F)	1.0492	states/eV/atom

---

Of them, the most stable is #b and the least stable is #a.

---

#a
TiIrF | GGA-PBE | optimized geometry

Lattice parameters (Å, degrees): 2.8245 2.8245 6.5594 90.00 90.00 120.00
Closest atoms and distances in Å follow each position.
Positions (direct):
Ti 0.0000 0.0000 0.0000  3 F 2.11
Ir 0.3333 0.6667 0.6960  3 Ti 2.58, 6 Ir 2.82
F 0.3333 0.6667 0.2035  3 Ti 2.11

Results
SG	P3m1, No. 156
D(E_F)	0.6811	states/eV/atom

---

#b
TiIrF | GGA-PBE | optimized geometry

Lattice parameters (Å, degrees): 2.8101 3.7955 8.9703 90.00 90.00 90.00
Closest atoms and distances in Å follow each position.
Positions (direct):
Ti 0.2500 0.2500 0.2218  2 F 1.99
Ti 0.7500 0.7500 0.7782  2 F 1.99
Ir 0.2500 0.2500 0.9165  5 Ti 2.67-2.74, 6 Ir 2.80-2.81
Ir 0.7500 0.7500 0.0835  5 Ti 2.67-2.74, 6 Ir 2.80-2.81
F 0.2500 0.7500 0.6212  2 Ti 1.99
F 0.7500 0.2500 0.3788  2 Ti 1.99

Results
SG	Pmmn, No. 59
D(E_F)	0.2135	states/eV/atom

---

#c
TiIrF | GGA-PBE | optimized geometry

Lattice parameters (Å, degrees): 2.8389 14.3526 4.5658 90.00 90.00 90.00
Closest atoms and distances in Å follow each position.
Positions (direct):
Ti 0.0000 0.1027 0.0000  2 F 2.02
Ti 0.0000 0.8973 0.5000  2 F 2.02
Ti 0.5000 0.3973 0.5000  2 F 2.02
Ti 0.5000 0.6027 0.0000  2 F 2.02
Ir 0.0000 0.4479 0.0504  4 Ti 2.60-2.65, 4 Ir 2.73-2.84
Ir 0.0000 0.5521 0.5504  4 Ti 2.60-2.65, 4 Ir 2.73-2.84
Ir 0.5000 0.0521 0.5504  4 Ti 2.60-2.65, 4 Ir 2.73-2.84
Ir 0.5000 0.9479 0.0504  4 Ti 2.60-2.65, 4 Ir 2.73-2.84
F 0.0000 0.3018 0.5923  2 Ti 2.02
F 0.0000 0.6982 0.0923  2 Ti 2.02
F 0.5000 0.1982 0.0923  2 Ti 2.02
F 0.5000 0.8018 0.5923  2 Ti 2.02

Results
SG	Cmc2_1, No. 36
D(E_F)	0.4062	states/eV/atom

---

Of them, the most stable is #b and the least stable is #a.

---

#a
TiIrF3 | GGA-PBE | optimized geometry

Lattice parameters (Å, degrees): 4.2667 4.2667 4.2667 90.00 90.00 90.00
Closest atoms and distances in Å follow each position.
Positions (direct):
Ti 0.0000 0.0000 0.0000  12 F 3.02
Ir 0.5000 0.5000 0.5000  6 F 2.13
F 0.0000 0.5000 0.5000  2 Ir 2.13
F 0.5000 0.0000 0.5000  2 Ir 2.13
F 0.5000 0.5000 0.0000  2 Ir 2.13

Results
SG	Pm-3m, No. 221
D(E_F)	3.0103	states/eV/atom

---

#b
TiIrF3 | GGA-PBE | optimized geometry

Lattice parameters (Å, degrees): 4.0568 4.0568 4.0568 90.00 90.00 90.00
Closest atoms and distances in Å follow each position.
Positions (direct):
Ti 0.0000 0.0000 0.0000  6 F 2.03
Ir 0.5000 0.5000 0.5000  12 F 2.87
F 0.0000 0.0000 0.5000  2 Ti 2.03
F 0.0000 0.5000 0.0000  2 Ti 2.03
F 0.5000 0.0000 0.0000  2 Ti 2.03

Results
SG	Pm-3m, No. 221
D(E_F)	1.6105	states/eV/atom

---

Of them, the most stable is #b and the least stable is #a.